No. 1
A relaxed structure of Ba2SrY2, computed with GGA-PBE.

## Properties
- Space-group type: No. 127
- E above lowest polymorph: 0 meV/atom
- E_form: 28.4 kJ per mole of atoms

Cell: 10.7677 10.7677 4.0594 Å, 90.00 90.00 90.00°
Last column: nearest neighbours and their distance in Å.
Fractional positions:
1 Ba 0.1820 0.3180 0.0000  6 Y 3.76-3.82, 2 Ba 4.06
2 Ba 0.3180 0.8180 0.0000  6 Y 3.76-3.82, 2 Ba 4.06
3 Ba 0.6820 0.1820 0.0000  6 Y 3.76-3.82, 2 Ba 4.06
4 Ba 0.8180 0.6820 0.0000  6 Y 3.76-3.82, 2 Ba 4.06
5 Sr 0.0000 0.0000 0.5000  2 Sr 4.06, 4 Y 4.36, 8 Ba 4.44
6 Sr 0.5000 0.5000 0.5000  2 Sr 4.06, 4 Y 4.36, 8 Ba 4.44
7 Y 0.1099 0.6099 0.5000  1 Y 3.35
8 Y 0.3901 0.1099 0.5000  1 Y 3.35
9 Y 0.6099 0.8901 0.5000  1 Y 3.35
10 Y 0.8901 0.3901 0.5000  1 Y 3.35


No. 2
A relaxed structure of AcPu2Ge2, computed with GGA-PBE.

## Properties
- Space-group type: No. 194
- E above lowest polymorph: 149 meV/atom
- E_form: -24.1 kJ per mole of atoms

Cell: 4.3535 4.3535 15.0558 Å, 90.00 90.00 120.00°
Last column: nearest neighbours and their distance in Å.
Fractional positions:
1 Ac 0.3333 0.6667 0.2500  6 Ge 3.26
2 Ac 0.6667 0.3333 0.7500  6 Ge 3.26
3 Pu 0.3333 0.6667 0.5075  3 Pu 2.52
4 Pu 0.3333 0.6667 0.9925  3 Pu 2.52
5 Pu 0.6667 0.3333 0.0075  3 Pu 2.52
6 Pu 0.6667 0.3333 0.4925  3 Pu 2.52
7 Ge 0.0000 0.0000 0.1122  6 Pu 2.97-3.09, 3 Ac 3.26
8 Ge 0.0000 0.0000 0.3878  6 Pu 2.97-3.09, 3 Ac 3.26
9 Ge 0.0000 0.0000 0.6122  6 Pu 2.97-3.09, 3 Ac 3.26
10 Ge 0.0000 0.0000 0.8878  6 Pu 2.97-3.09, 3 Ac 3.26


No. 3
A relaxed structure of Pu2MgPb8, computed with GGA-PBE.

## Properties
- Space-group type: No. 123
- E_form: -7.7 kJ per mole of atoms

Cell: 4.8540 4.8540 13.7822 Å, 90.00 90.00 90.00°
Last column: nearest neighbours and their distance in Å.
Fractional positions:
1 Pu 0.0000 0.0000 0.1713  12 Pb 3.39-3.56
2 Pu 0.0000 0.0000 0.8287  12 Pb 3.39-3.56
3 Mg 0.0000 0.0000 0.5000  8 Pb 3.10
4 Pb 0.0000 0.5000 0.0000  4 Pu 3.39, 8 Pb 3.43-3.50
5 Pb 0.0000 0.5000 0.3598  2 Mg 3.10, 6 Pb 3.43-3.44
6 Pb 0.0000 0.5000 0.6402  2 Mg 3.10, 6 Pb 3.43-3.44
7 Pb 0.5000 0.0000 0.0000  4 Pu 3.39, 8 Pb 3.43-3.50
8 Pb 0.5000 0.0000 0.3598  2 Mg 3.10, 6 Pb 3.43-3.44
9 Pb 0.5000 0.0000 0.6402  2 Mg 3.10, 6 Pb 3.43-3.44
10 Pb 0.5000 0.5000 0.1830  4 Pu 3.44, 8 Pb 3.44-3.50
11 Pb 0.5000 0.5000 0.8170  4 Pu 3.44, 8 Pb 3.44-3.50


No. 4
A relaxed structure of Ca2Ni6C, computed with GGA-PBE.

## Properties
- Space-group type: No. 164
- E_form: 1.5 kJ per mole of atoms

Cell: 5.5409 5.5409 4.6002 Å, 90.00 90.00 120.00°
Last column: nearest neighbours and their distance in Å.
Fractional positions:
1 Ca 0.3333 0.6667 0.2702  12 Ni 2.78-2.90
2 Ca 0.6667 0.3333 0.7298  12 Ni 2.78-2.90
3 Ni 0.1530 0.3061 0.7644  1 C 1.91
4 Ni 0.1530 0.8470 0.7644  1 C 1.91
5 Ni 0.3061 0.1530 0.2356  1 C 1.91
6 Ni 0.6939 0.8470 0.7644  1 C 1.91
7 Ni 0.8470 0.1530 0.2356  1 C 1.91
8 Ni 0.8470 0.6939 0.2356  1 C 1.91
9 C 0.0000 0.0000 0.5000  6 Ni 1.91


No. 5
A relaxed structure of CuTc4Ag, computed with GGA-PBE.

## Properties
- Space-group type: No. 216
- E_form: 61.1 kJ per mole of atoms

Cell: 5.1298 5.1298 5.1298 Å, 60.00 60.00 60.00°
Last column: nearest neighbours and their distance in Å.
Fractional positions:
1 Cu 0.0000 0.0000 0.0000  12 Tc 3.01, 4 Ag 3.14
2 Tc 0.1245 0.6252 0.6252  6 Tc 2.56-2.57
3 Tc 0.6252 0.1245 0.6252  6 Tc 2.56-2.57
4 Tc 0.6252 0.6252 0.1245  6 Tc 2.56-2.57
5 Tc 0.6252 0.6252 0.6252  6 Tc 2.56-2.57
6 Ag 0.2500 0.2500 0.2500  12 Tc 3.01, 4 Cu 3.14


No. 6
A relaxed structure of RbBi2Te4Au, computed with GGA-PBE.

## Properties
- Space-group type: No. 63
- Formation energy from raw total energies: -0.347 eV/atom

Cell: 7.8406 7.8406 16.7638 Å, 90.00 90.00 145.42°
Last column: nearest neighbours and their distance in Å.
Fractional positions:
1 Rb 0.1208 0.8792 0.7500  6 Te 3.67-3.78, 1 Au 4.10
2 Rb 0.8792 0.1208 0.2500  6 Te 3.67-3.78, 1 Au 4.10
3 Bi 0.3655 0.6345 0.5588  6 Te 3.09-3.35
4 Bi 0.3655 0.6345 0.9412  6 Te 3.09-3.35
5 Bi 0.6345 0.3655 0.0588  6 Te 3.09-3.35
6 Bi 0.6345 0.3655 0.4412  6 Te 3.09-3.35
7 Te 0.0000 0.0000 0.0000  4 Bi 3.23
8 Te 0.0000 0.0000 0.5000  4 Bi 3.23
9 Te 0.2670 0.7330 0.1033  1 Au 2.99, 3 Bi 3.09-3.15
10 Te 0.2670 0.7330 0.3967  1 Au 2.99, 3 Bi 3.09-3.15
11 Te 0.4313 0.5687 0.7500  2 Au 2.65
12 Te 0.5687 0.4313 0.2500  2 Au 2.65
13 Te 0.7330 0.2670 0.6033  1 Au 2.99, 3 Bi 3.09-3.15
14 Te 0.7330 0.2670 0.8967  1 Au 2.99, 3 Bi 3.09-3.15
15 Au 0.1529 0.8471 0.2500  2 Te 2.65
16 Au 0.8471 0.1529 0.7500  2 Te 2.65


No. 7
A relaxed structure of Li4Ca5Hg4, computed with GGA-PBE.

## Properties
- Space-group type: No. 87
- E_form: -36.8 kJ per mole of atoms

Cell: 9.0368 9.0368 9.0368 Å, 93.52 93.52 151.32°
Last column: nearest neighbours and their distance in Å.
Fractional positions:
1 Li 0.0723 0.3996 0.4719  3 Hg 2.87-2.89, 5 Li 3.06-3.11
2 Li 0.3996 0.9277 0.3273  3 Hg 2.87-2.89, 5 Li 3.06-3.11
3 Li 0.6004 0.0723 0.6727  3 Hg 2.87-2.89, 5 Li 3.06-3.11
4 Li 0.9277 0.6004 0.5281  3 Hg 2.87-2.89, 5 Li 3.06-3.11
5 Ca 0.1305 0.7918 0.9223  5 Hg 3.24-3.31, 3 Li 3.45-3.54
6 Ca 0.2082 0.1305 0.3387  5 Hg 3.24-3.31, 3 Li 3.45-3.54
7 Ca 0.5000 0.5000 0.0000  4 Hg 3.24
8 Ca 0.7918 0.8695 0.6613  5 Hg 3.24-3.31, 3 Li 3.45-3.54
9 Ca 0.8695 0.2082 0.0777  5 Hg 3.24-3.31, 3 Li 3.45-3.54
10 Hg 0.2448 0.5563 0.8011  3 Li 2.87-2.89
11 Hg 0.4437 0.2448 0.6885  3 Li 2.87-2.89
12 Hg 0.5563 0.7552 0.3115  3 Li 2.87-2.89
13 Hg 0.7552 0.4437 0.1989  3 Li 2.87-2.89


No. 8
A relaxed structure of PBr, computed with GGA-PBE.

## Properties
- Space-group type: No. 67
- Formation energy from raw total energies: 0.348 eV/atom
- E above lowest polymorph: 478 meV/atom

Cell: 4.7646 4.7646 10.5026 Å, 90.00 90.00 142.80°
Last column: nearest neighbours and their distance in Å.
Fractional positions:
1 P 0.2500 0.7500 0.9324  2 P 2.08
2 P 0.7500 0.2500 0.0676  2 P 2.08
3 Br 0.2500 0.7500 0.3206  2 Br 3.04, 2 P 3.06
4 Br 0.7500 0.2500 0.6794  2 Br 3.04, 2 P 3.06


No. 9
A relaxed structure of Mg5In8Pb, computed with GGA-PBE.

## Properties
- Space-group type: No. 82
- E_form: 0.8 kJ per mole of atoms

Cell: 7.8101 7.8101 7.8101 Å, 109.93 109.93 108.55°
Last column: nearest neighbours and their distance in Å.
Fractional positions:
1 Mg 0.0000 0.0000 0.0000  8 In 2.93-3.18
2 Mg 0.2114 0.5450 0.9249  8 In 2.99-3.32
3 Mg 0.4550 0.3798 0.6664  8 In 2.99-3.32
4 Mg 0.6202 0.2866 0.0751  8 In 2.99-3.32
5 Mg 0.7134 0.7886 0.3336  8 In 2.99-3.32
6 In 0.1535 0.0994 0.7334  5 Mg 2.93-3.14, 1 Pb 3.19, 1 In 3.25
7 In 0.3661 0.4202 0.2666  5 Mg 2.93-3.14, 1 Pb 3.19, 1 In 3.25
8 In 0.4230 0.0186 0.2695  5 Mg 3.15-3.32, 3 In 3.16-3.31, 1 Pb 3.45
9 In 0.5798 0.8465 0.9459  5 Mg 2.93-3.14, 1 Pb 3.19, 1 In 3.25
10 In 0.7490 0.1535 0.7305  5 Mg 3.15-3.32, 3 In 3.16-3.31, 1 Pb 3.45
11 In 0.8465 0.5770 0.5955  5 Mg 3.15-3.32, 3 In 3.16-3.31, 1 Pb 3.45
12 In 0.9006 0.6339 0.0541  5 Mg 2.93-3.14, 1 Pb 3.19, 1 In 3.25
13 In 0.9814 0.2510 0.4045  5 Mg 3.15-3.32, 3 In 3.16-3.31, 1 Pb 3.45
14 Pb 0.2500 0.7500 0.5000  8 In 3.19-3.45


No. 10
A relaxed structure of YCdAs2, computed with GGA-PBE.

## Properties
- Space-group type: No. 216
- E_form: -18.1 kJ per mole of atoms

Cell: 5.0349 5.0349 5.0349 Å, 60.00 60.00 60.00°
Last column: nearest neighbours and their distance in Å.
Fractional positions:
1 Y 0.0000 0.0000 0.0000  4 Cd 3.08, 4 As 3.08
2 Cd 0.7500 0.7500 0.7500  4 Y 3.08, 4 As 3.08
3 As 0.2500 0.2500 0.2500  4 As 3.08, 4 Y 3.08
4 As 0.5000 0.5000 0.5000  4 Cd 3.08, 4 As 3.08


| no. | V (Å³/f.u.) | mass density (g/cm3) |
| --- | --- | --- |
| 1 | 235 | 3.81 |
| 2 | 124 | 11.56 |
| 3 | 325 | 11.10 |
| 4 | 122 | 6.03 |
| 5 | 95 | 9.80 |
| 6 | 292 | 6.87 |
| 7 | 343 | 4.99 |
| 8 | 72 | 2.55 |
| 9 | 367 | 5.65 |
| 10 | 90 | 6.46 |